# 1
The following is a DFT calculation (PBE) of a geometry-optimized Cs2ReSe structure.

Properties
E: -3.927 eV/atom
symmetry: I-42d (122)
formation energy without anion corrections: 0.483 eV per atom
DOS at the Fermi energy: 1.35 states/eV per cell

Unit cell a=9.729 b=9.729 c=9.729 alpha=93.31 beta=93.31 gamma=152.20
Last column: magnetic moment on the atom in μB.
Fractional positions:
Re1 0.250 0.750 0.500  0.86
Cs1 0.125 0.445 0.820  0.00
Se1 0.500 0.500 0.000  -0.03
Cs2 0.695 0.875 0.320  0.00
Cs3 0.555 0.375 0.680  0.00
Cs4 0.625 0.305 0.180  0.00
Se2 0.750 0.250 0.500  -0.03
Re2 0.000 0.000 0.000  0.86



# 2
The following is a DFT calculation (PBE) of a geometry-optimized CsTiReSe2 structure.

Properties
E: -3.192 eV/atom
symmetry: P4/mmm (123)
formation energy without anion corrections: 2.441 eV per atom
DOS at the Fermi energy: 5.46 states/eV per cell

Unit cell a=5.958 b=5.351 c=5.958 alpha=90.00 beta=90.00 gamma=90.00
Last column: magnetic moment on the atom in μB.
Fractional positions:
Ti1 0.500 0.500 0.500  1.95
Se1 0.000 0.000 0.500  0.11
Cs1 0.000 0.000 0.000  0.06
Se2 0.500 0.000 0.000  0.12
Re1 0.000 0.500 0.000  3.11



# 3
The following is a DFT calculation (PBE) of a geometry-optimized Cs2TlReSe4 structure.

Properties
E: -4.377 eV/atom
symmetry: I-4 (82)
formation energy without anion corrections: -0.569 eV per atom
DOS at the Fermi energy: 2.57 states/eV per cell

Unit cell a=7.522 b=7.522 c=7.522 alpha=106.84 beta=110.80 gamma=110.80
Last column: magnetic moment on the atom in μB.
Fractional positions:
Se1 0.956 0.498 0.173  0.05
Cs1 0.500 0.750 0.250  0.01
Re1 0.000 0.500 0.500  1.10
Se2 0.675 0.458 0.502  0.05
Se3 0.044 0.216 0.542  0.05
Tl1 0.500 0.250 0.750  0.04
Cs2 0.000 0.000 0.000  0.01
Se4 0.325 0.827 0.784  0.05



# 4
The following is a DFT calculation (PBE) of a geometry-optimized CsRe2Si structure.

Properties
E: -6.348 eV/atom
symmetry: I-42d (122)
formation energy without anion corrections: 1.446 eV per atom
DOS at the Fermi energy: 9.11 states/eV per cell

Unit cell a=4.735 b=4.735 c=9.252 alpha=75.17 beta=75.17 gamma=90.00
Fractional positions:
Cs1 0.000 0.000 0.000
Re1 0.375 0.726 0.750
Si1 0.500 0.500 0.000
Re2 0.875 0.524 0.750
Cs2 0.750 0.250 0.500
Re3 0.274 0.125 0.250
Si2 0.250 0.750 0.500
Re4 0.476 0.625 0.250



# 5
The following is a DFT calculation (PBE) of a geometry-optimized Cs2TlReSi structure.

Properties
E: -2.795 eV/atom
symmetry: P4/mmm (123)
formation energy without anion corrections: 1.594 eV per atom
DOS at the Fermi energy: 5.81 states/eV per cell

Unit cell a=7.390 b=4.890 c=7.390 alpha=90.00 beta=90.00 gamma=90.00
Last column: magnetic moment on the atom in μB.
Fractional positions:
Re1 0.500 0.500 0.500  3.65
Si1 0.000 0.500 0.000  0.03
Cs1 0.500 0.000 0.000  0.00
Tl1 0.000 0.000 0.000  0.03
Cs2 0.000 0.000 0.500  0.00



# 6
The following is a DFT calculation (PBE) of a geometry-optimized Cs3SrRe structure.

Properties
E: -1.562 eV/atom
symmetry: Pm-3m (221)
DOS at the Fermi energy: 9.90 states/eV per cell
calculated formation energy: 1.776 eV per atom

Unit cell a=8.591 b=8.591 c=8.591 alpha=90.00 beta=90.00 gamma=90.00
Last column: magnetic moment on the atom in μB.
Fractional positions:
Re1 0.500 0.500 0.500  3.88
Cs1 0.000 0.500 0.000  0.00
Cs2 0.000 0.000 0.500  0.00
Cs3 0.500 0.000 0.000  0.00
Sr1 0.000 0.000 0.000  -0.01